The following is a DFT calculation (PBE) of YBi2As2 after structural relaxation.

Cell lengths 8.250, 8.250, 8.250 Å; angles 149.73, 149.73, 43.34 degrees
Element x y z (fractional)
As 0.582 0.582 0.000
As 0.418 0.418 0.000
Bi 0.250 0.750 0.500
Bi 0.750 0.250 0.500
Y 0.000 0.000 0.000

The energy above the most stable polymorph in this dataset is 267 meV per atom. The value obtained for the energy relative to the elements is -0.11 eV/atom. The value obtained for the total magnetic moment is 0.0 μB per formula unit.